1.
DFT (GGA-PBEsol) results for a relaxed Hf2Si2Os crystal.

Lattice parameters (Å, degrees): 6.2451 6.2451 4.0814 90.00 90.00 90.00
Atoms (fractional coordinates):
Hf  0.1738  0.3262  0.0000
Hf  0.3262  0.8262  0.0000
Hf  0.6738  0.1738  0.0000
Hf  0.8262  0.6738  0.0000
Si  0.1347  0.6347  0.5000
Si  0.3653  0.1347  0.5000
Si  0.6347  0.8653  0.5000
Si  0.8653  0.3653  0.5000
Os  0.0000  0.0000  0.5000
Os  0.5000  0.5000  0.5000

Values from the calculation:
Uncorrected energy in eV per atom: -9.840
Total magnetization in μB per formula unit: 0.000

---

2.
DFT (GGA-PBEsol) results for a relaxed Er2GeRh3 crystal.

Lattice parameters (Å, degrees): 5.0145 5.0145 5.0145 66.22 66.22 66.22
Atoms (fractional coordinates):
Er  0.1286  0.1286  0.1286
Er  0.8714  0.8714  0.8714
Ge  0.5000  0.5000  0.5000
Rh  0.0000  0.5000  0.5000
Rh  0.5000  0.0000  0.5000
Rh  0.5000  0.5000  0.0000

Values from the calculation:
Formation energy from the elements in eV/atom: -0.937
Uncorrected energy in eV per atom: -7.472
Total magnetization in μB per formula unit: 0.000

---

3.
DFT (GGA-PBEsol) results for a relaxed LiTl5 crystal.

Lattice parameters (Å, degrees): 5.9537 5.9537 5.2223 90.00 90.00 120.00
Atoms (fractional coordinates):
Li  0.0000  0.0000  0.0000
Tl  0.0000  0.3182  0.5000
Tl  0.3182  0.0000  0.5000
Tl  0.3333  0.6667  0.0000
Tl  0.6667  0.3333  0.0000
Tl  0.6818  0.6818  0.5000

Values from the calculation:
Formation energy from the elements in eV/atom: -0.062
Energy relative to the lowest polymorph listed for this composition in kJ/mol of formula units: 4
Uncorrected energy in eV per atom: -2.582
Total magnetization in μB per formula unit: 0.000